Crystalline Ni5TeP6O24 at its relaxed geometry, computed with PBE with a Hubbard U.

Unit cell a=8.5166 b=8.5166 c=8.5166 alpha=60.73 beta=60.73 gamma=60.73
Site moments in Bohr magnetons follow the coordinates.
Positions (direct):
Ni 0.9942 0.9942 0.9942  1.82
Ni 0.6412 0.6412 0.6412  1.78
Ni 0.4991 0.4991 0.4991  1.81
Ni 0.8593 0.8593 0.8593  1.76
Ni 0.3581 0.3581 0.3581  1.69
Te 0.1420 0.1420 0.1420  0.01
P 0.9513 0.2571 0.5465  0.02
P 0.5465 0.9513 0.2571  0.02
P 0.2571 0.5465 0.9513  0.02
P 0.7439 0.4627 0.0510  0.02
P 0.4627 0.0510 0.7439  0.02
P 0.0510 0.7439 0.4627  0.02
O 0.4738 0.0949 0.3522  -0.11
O 0.3522 0.4738 0.0949  -0.11
O 0.0949 0.3522 0.4738  -0.11
O 0.9689 0.0854 0.7295  0.00
O 0.9852 0.1867 0.3827  0.00
O 0.7461 0.3949 0.5717  -0.01
O 0.7295 0.9689 0.0854  0.00
O 0.5717 0.7461 0.3949  -0.01
O 0.8127 0.6124 0.0170  -0.08
O 0.3949 0.5717 0.7461  -0.01
O 0.9222 0.2573 0.0500  0.02
O 0.6124 0.0170 0.8127  -0.08
O 0.3827 0.9852 0.1867  0.00
O 0.0854 0.7295 0.9689  0.00
O 0.6028 0.4199 0.2551  -0.02
O 0.1867 0.3827 0.9852  0.00
O 0.4199 0.2551 0.6028  -0.02
O 0.2573 0.0500 0.9222  0.02
O 0.2551 0.6028 0.4199  -0.02
O 0.0170 0.8127 0.6124  -0.08
O 0.0500 0.9222 0.2573  0.02
O 0.8956 0.6844 0.4922  -0.12
O 0.6844 0.4922 0.8956  -0.12
O 0.4922 0.8956 0.6844  -0.12

As for the space group: R3 (146). For the electronic total energy, the calculation gives -6.272 eV/atom.